[1]
LaHPt | PBE | optimized geometry

Values from the calculation:
The value obtained for the energy above the lowest structure with this stoichiometry is 35 meV per atom. The crystal system is monoclinic.

Cell: 4.030 4.822 5.700 Å, 90.00 107.35 90.00°
Space group P2_1/m (No. 11)
Inequivalent atoms, fractional coordinates:
La: 0.128 0.250 0.283 [2 per cell]
H: 0.303 0.750 0.389 [2 per cell]
Pt: 0.469 0.250 0.854 [2 per cell]

=====

[2]
LaHPt | PBE | optimized geometry

Values from the calculation:
The value obtained for the energy above the lowest structure with this stoichiometry is 0 meV per atom. The crystal system is triclinic.

Cell: 4.109 4.626 6.163 Å, 93.69 109.46 90.01°
Space group P-1 (No. 2)
Inequivalent atoms, fractional coordinates:
La: 0.131 0.255 0.260 [2 per cell]
H: 0.310 0.003 0.622 [2 per cell]
Pt: 0.417 0.274 0.835 [2 per cell]

=====

[3]
La2HPt | PBE | optimized geometry

Values from the calculation:
The value obtained for the energy above the lowest structure with this stoichiometry is 0 meV per atom. The crystal system is trigonal.

Cell: 4.1938 4.1938 18.8296 Å, 90.00 90.00 120.00°
Space group R-3m (No. 166, hexagonal axes)
Inequivalent atoms, fractional coordinates:
La: 0.0000 0.0000 0.2449 [6 per cell]
H: 0.0000 0.0000 0.5000 [3 per cell]
Pt: 0.0000 0.0000 0.0000 [3 per cell]

=====

energy above the lowest structure with this stoichiometry of number 1 (LaHPt)?
35 meV per atom

=====

Which value of energy above the lowest structure with this stoichiometry does entry 1 give?
35 meV per atom